[1]
An optimized crystal structure of LuUSb. Source: OQMD, functional PBE.

The space group is F-43m (No. 216) and the conventional cell measures 7.137, 7.137 and 7.137 Å, with angles of 90.00, 90.00 and 90.00 degrees. The distinct sites, in fractional coordinates, are Lu at (0.000, 0.000, 0.000), U at (0.250, 0.250, 0.250) and Sb at (0.250, 0.250, 0.750).

For the total energy, the calculation gives -6.065 eV/atom. The calculated volume is 30.3 Å³ per atom. The total moment comes out at 5.18 μB/f.u.



[2]
An optimized crystal structure of LuSbW. Source: OQMD, functional PBE.

The space group is F-43m (No. 216) and the conventional cell measures 6.585, 6.585 and 6.585 Å, with angles of 90.00, 90.00 and 90.00 degrees. The distinct sites, in fractional coordinates, are Lu at (0.000, 0.000, 0.000), Sb at (0.250, 0.250, 0.250) and W at (0.000, 0.000, 0.500).

For the total energy, the calculation gives -6.716 eV/atom. The calculated volume is 23.8 Å³ per atom. The total moment comes out at 0.28 μB/f.u. Its offset from the most stable computed form is 0 meV per atom.



[3]
An optimized crystal structure of Y2LuSb. Source: OQMD, functional PBE.

The space group is F-43m (No. 216) and the conventional cell measures 7.568, 7.568 and 7.568 Å, with angles of 90.00, 90.00 and 90.00 degrees. The distinct sites, in fractional coordinates, are Y at (0.000, 0.000, 0.000), Y at (0.250, 0.250, 0.250), Lu at (0.250, 0.250, 0.750) and Sb at (0.000, 0.000, 0.500).

For the total energy, the calculation gives -5.600 eV/atom. The calculated volume is 27.1 Å³ per atom. The total moment comes out at 0.00 μB/f.u.



[4]
An optimized crystal structure of YLuSb. Source: OQMD, functional PBE.

The space group is F-43m (No. 216) and the conventional cell measures 7.102, 7.102 and 7.102 Å, with angles of 90.00, 90.00 and 90.00 degrees. The distinct sites, in fractional coordinates, are Y at (0.000, 0.000, 0.000), Lu at (0.000, 0.000, 0.500) and Sb at (0.250, 0.250, 0.750).

For the total energy, the calculation gives -5.502 eV/atom. The calculated volume is 29.9 Å³ per atom. The total moment comes out at 0.10 μB/f.u.



no.,calculated density (g cm⁻³)
1,9.8
2,11.2
3,7.3
4,7.1